Density functional theory data (SCAN) for Sr2LaZr at its PBEsol-relaxed geometry.

Calculated values
Energy relative to the lowest polymorph listed for this composition   0.0 meV per atom
Energy of formation from the pure elements   116 kJ/mol of formula units
Volume   37.5 Å³/atom
VASP energy   -29.289 eV/atom
Magnetic moment   1.271 μB per formula unit

CIF file:
```
data_Sr2LaZr
_symmetry_space_group_name_H-M 'P 1'
_symmetry_Int_Tables_number 1
_cell_length_a 3.999
_cell_length_b 3.999
_cell_length_c 9.382
_cell_angle_alpha 90.00
_cell_angle_beta 90.00
_cell_angle_gamma 90.00
loop_
_symmetry_equiv_pos_as_xyz
'x,y,z'
loop_
_atom_site_label
_atom_site_type_symbol
_atom_site_fract_x
_atom_site_fract_y
_atom_site_fract_z
Sr1 Sr 0.000 0.000 0.000
Sr2 Sr 0.500 0.500 0.338
La1 La 0.500 0.500 0.721
Zr1 Zr 0.000 0.000 0.589
```

Density functional theory data (SCAN) for SrLa2Zr at its PBEsol-relaxed geometry.

Calculated values
Energy relative to the lowest polymorph listed for this composition   191.2 meV per atom
Energy of formation from the pure elements   146 kJ/mol of formula units
Volume   32.0 Å³/atom
VASP energy   -34.418 eV/atom
Magnetic moment   0.000 μB per formula unit

CIF file:
```
data_SrLa2Zr
_symmetry_space_group_name_H-M 'P 1'
_symmetry_Int_Tables_number 1
_cell_length_a 6.164
_cell_length_b 6.164
_cell_length_c 3.536
_cell_angle_alpha 90.00
_cell_angle_beta 90.00
_cell_angle_gamma 107.51
loop_
_symmetry_equiv_pos_as_xyz
'x,y,z'
loop_
_atom_site_label
_atom_site_type_symbol
_atom_site_fract_x
_atom_site_fract_y
_atom_site_fract_z
Sr1 Sr 0.000 0.000 0.000
La1 La 0.000 0.500 0.500
La2 La 0.500 0.000 0.500
Zr1 Zr 0.500 0.500 0.000
```

Density functional theory data (SCAN) for Sr2LaZr at its PBEsol-relaxed geometry.

Calculated values
Energy relative to the lowest polymorph listed for this composition   194.9 meV per atom
Energy of formation from the pure elements   191 kJ/mol of formula units
Volume   34.8 Å³/atom
VASP energy   -29.094 eV/atom
Magnetic moment   1.842 μB per formula unit

CIF file:
```
data_Sr2LaZr
_symmetry_space_group_name_H-M 'P 1'
_symmetry_Int_Tables_number 1
_cell_length_a 3.509
_cell_length_b 6.227
_cell_length_c 6.398
_cell_angle_alpha 90.00
_cell_angle_beta 95.42
_cell_angle_gamma 90.00
loop_
_symmetry_equiv_pos_as_xyz
'x,y,z'
loop_
_atom_site_label
_atom_site_type_symbol
_atom_site_fract_x
_atom_site_fract_y
_atom_site_fract_z
Sr1 Sr 0.242 0.000 0.259
Sr2 Sr 0.758 0.000 0.741
La1 La 0.500 0.500 0.000
Zr1 Zr 0.000 0.500 0.500
```

Density functional theory data (SCAN) for SrLa2Zr at its PBEsol-relaxed geometry.

Calculated values
Energy relative to the lowest polymorph listed for this composition   187.7 meV per atom
Energy of formation from the pure elements   145 kJ/mol of formula units
Volume   32.1 Å³/atom
VASP energy   -34.421 eV/atom
Magnetic moment   0.000 μB per formula unit

CIF file:
```
data_SrLa2Zr
_symmetry_space_group_name_H-M 'P 1'
_symmetry_Int_Tables_number 1
_cell_length_a 5.170
_cell_length_b 5.170
_cell_length_c 4.796
_cell_angle_alpha 90.00
_cell_angle_beta 90.00
_cell_angle_gamma 90.00
loop_
_symmetry_equiv_pos_as_xyz
'x,y,z'
loop_
_atom_site_label
_atom_site_type_symbol
_atom_site_fract_x
_atom_site_fract_y
_atom_site_fract_z
Sr1 Sr 0.000 0.000 0.000
La1 La 0.000 0.500 0.500
La2 La 0.500 0.000 0.500
Zr1 Zr 0.500 0.500 0.000
```

Density functional theory data (SCAN) for SrLa2Zr at its PBEsol-relaxed geometry.

Calculated values
Energy relative to the lowest polymorph listed for this composition   0.0 meV per atom
Energy of formation from the pure elements   72 kJ/mol of formula units
Volume   33.3 Å³/atom
VASP energy   -34.609 eV/atom
Magnetic moment   0.000 μB per formula unit

CIF file:
```
data_SrLa2Zr
_symmetry_space_group_name_H-M 'P 1'
_symmetry_Int_Tables_number 1
_cell_length_a 3.537
_cell_length_b 3.537
_cell_length_c 10.652
_cell_angle_alpha 90.00
_cell_angle_beta 90.00
_cell_angle_gamma 90.00
loop_
_symmetry_equiv_pos_as_xyz
'x,y,z'
loop_
_atom_site_label
_atom_site_type_symbol
_atom_site_fract_x
_atom_site_fract_y
_atom_site_fract_z
Sr1 Sr 0.000 0.000 0.000
La1 La 0.500 0.500 0.290
La2 La 0.500 0.500 0.710
Zr1 Zr 0.000 0.000 0.500
```

Density functional theory data (SCAN) for La5Ta at its PBEsol-relaxed geometry.

Calculated values
Energy of formation from the pure elements   171 kJ/mol of formula units
Volume   29.9 Å³/atom
VASP energy   -46.722 eV/atom
Magnetic moment   0.000 μB per formula unit

CIF file:
```
data_La5Ta
_symmetry_space_group_name_H-M 'P 1'
_symmetry_Int_Tables_number 1
_cell_length_a 6.145
_cell_length_b 6.145
_cell_length_c 5.482
_cell_angle_alpha 90.00
_cell_angle_beta 90.00
_cell_angle_gamma 120.00
loop_
_symmetry_equiv_pos_as_xyz
'x,y,z'
loop_
_atom_site_label
_atom_site_type_symbol
_atom_site_fract_x
_atom_site_fract_y
_atom_site_fract_z
La1 La 0.000 0.294 0.000
La2 La 0.294 0.000 0.000
La3 La 0.333 0.667 0.500
La4 La 0.667 0.333 0.500
La5 La 0.706 0.706 0.000
Ta1 Ta 0.000 0.000 0.500
```

Density functional theory data (SCAN) for LaTa3 at its PBEsol-relaxed geometry.

Calculated values
Energy of formation from the pure elements   223 kJ/mol of formula units
Volume   19.7 Å³/atom
VASP energy   -60.135 eV/atom
Magnetic moment   0.000 μB per formula unit

CIF file:
```
data_LaTa3
_symmetry_space_group_name_H-M 'P 1'
_symmetry_Int_Tables_number 1
_cell_length_a 5.675
_cell_length_b 5.675
_cell_length_c 5.675
_cell_angle_alpha 117.13
_cell_angle_beta 117.13
_cell_angle_gamma 117.13
loop_
_symmetry_equiv_pos_as_xyz
'x,y,z'
loop_
_atom_site_label
_atom_site_type_symbol
_atom_site_fract_x
_atom_site_fract_y
_atom_site_fract_z
La1 La 0.000 0.000 0.000
Ta1 Ta 0.000 0.500 0.500
Ta2 Ta 0.500 0.000 0.500
Ta3 Ta 0.500 0.500 0.000
```

Density functional theory data (SCAN) for LaTa2 at its PBEsol-relaxed geometry.

Calculated values
Energy relative to the lowest polymorph listed for this composition   0.0 meV per atom
Energy of formation from the pure elements   154 kJ/mol of formula units
Volume   22.8 Å³/atom
VASP energy   -58.225 eV/atom
Magnetic moment   0.000 μB per formula unit

CIF file:
```
data_LaTa2
_symmetry_space_group_name_H-M 'P 1'
_symmetry_Int_Tables_number 1
_cell_length_a 5.816
_cell_length_b 5.816
_cell_length_c 8.275
_cell_angle_alpha 91.39
_cell_angle_beta 91.39
_cell_angle_gamma 29.31
loop_
_symmetry_equiv_pos_as_xyz
'x,y,z'
loop_
_atom_site_label
_atom_site_type_symbol
_atom_site_fract_x
_atom_site_fract_y
_atom_site_fract_z
La1 La 0.000 0.000 0.000
La2 La 0.238 0.238 0.719
Ta1 Ta 0.364 0.364 0.340
Ta2 Ta 0.628 0.628 0.361
Ta3 Ta 0.750 0.750 0.086
Ta4 Ta 0.982 0.982 0.580
```

Number 8 is which compound? LaTa2

Among the records above, which one has the highest VASP energy? number 3